Entry 1:
Computed, not measured: an optimized crystal structure of AsOs2W at the GGA-PBE level of DFT.

Cell: 5.215 5.215 5.215 Å, 146.88 129.10 62.08°
Sites, in units of the cell vectors:
As1 0.245 0.745 0.500
Os1 0.028 0.028 0.000
Os2 0.751 0.251 0.500
W1 0.476 0.476 0.000

Values from the calculation:
Space-group type   Imm2, No. 44
ΔE_f   299 meV/atom

***

Entry 2:
Computed, not measured: an optimized crystal structure of AsOsW2 at the GGA-PBE level of DFT.

Cell: 4.109 2.826 5.662 Å, 69.72 90.00 90.00°
Sites, in units of the cell vectors:
As1 0.500 0.250 0.250
Os1 0.500 0.750 0.750
W1 0.000 0.052 0.000
W2 0.000 0.448 0.500

Values from the calculation:
Space-group type   P2/m, No. 10
ΔE_f   290 meV/atom

***

Entry 3:
Computed, not measured: an optimized crystal structure of AsOsW2 at the GGA-PBE level of DFT.

Cell: 4.430 3.753 3.753 Å, 90.00 90.00 90.00°
Sites, in units of the cell vectors:
As1 0.500 0.500 0.000
Os1 0.500 0.000 0.500
W1 0.000 0.000 0.000
W2 0.000 0.500 0.500

Values from the calculation:
Space-group type   P4/mmm, No. 123
ΔE_f   579 meV/atom

***

Entry 4:
Computed, not measured: an optimized crystal structure of AsOsW2 at the GGA-PBE level of DFT.

Cell: 2.848 4.134 5.247 Å, 90.00 90.00 90.00°
Sites, in units of the cell vectors:
As1 0.500 0.500 0.250
Os1 0.500 0.500 0.750
W1 0.000 0.000 0.998
W2 0.000 0.000 0.502

Values from the calculation:
Space-group type   Pmmm, No. 47
ΔE_f   316 meV/atom

***

Entry 5:
Computed, not measured: an optimized crystal structure of AsOs2W at the GGA-PBE level of DFT.

Cell: 2.974 4.550 4.550 Å, 90.00 90.00 90.00°
Sites, in units of the cell vectors:
As1 0.500 0.000 0.500
Os1 0.000 0.000 0.000
Os2 0.000 0.500 0.500
W1 0.500 0.500 0.000

Values from the calculation:
Space-group type   P4/mmm, No. 123
ΔE_f   543 meV/atom

***

Entry 6:
Computed, not measured: an optimized crystal structure of AsOsW2 at the GGA-PBE level of DFT.

Cell: 5.302 5.302 5.302 Å, 147.22 130.03 61.05°
Sites, in units of the cell vectors:
As1 0.494 0.494 0.000
Os1 0.273 0.773 0.500
W1 0.013 0.013 0.000
W2 0.720 0.220 0.500

Values from the calculation:
Space-group type   Imm2, No. 44
ΔE_f   250 meV/atom

***

Entry 7:
Computed, not measured: an optimized crystal structure of AsOs2W at the GGA-PBE level of DFT.

Cell: 4.028 2.839 5.445 Å, 74.89 90.00 90.00°
Sites, in units of the cell vectors:
As1 0.500 0.945 0.732
Os1 0.000 0.815 0.997
Os2 0.500 0.183 0.260
W1 0.000 0.556 0.512

Values from the calculation:
Space-group type   Pm, No. 6
ΔE_f   266 meV/atom

***

Entry 8:
Computed, not measured: an optimized crystal structure of AsOs2W at the GGA-PBE level of DFT.

Cell: 4.628 4.628 2.901 Å, 90.00 90.00 101.93°
Sites, in units of the cell vectors:
As1 0.000 0.500 0.500
Os1 0.000 0.000 0.000
Os2 0.500 0.500 0.000
W1 0.500 0.000 0.500

Values from the calculation:
Space-group type   Cmmm, No. 65
ΔE_f   485 meV/atom

***

Entry 9:
Computed, not measured: an optimized crystal structure of AsOs2W at the GGA-PBE level of DFT.

Cell: 4.117 2.849 5.348 Å, 73.39 90.00 90.00°
Sites, in units of the cell vectors:
As1 0.500 0.750 0.750
Os1 0.000 0.878 0.990
Os2 0.000 0.622 0.510
W1 0.500 0.250 0.250

Values from the calculation:
Space-group type   P2/m, No. 10
ΔE_f   284 meV/atom

***

Entry 10:
Computed, not measured: an optimized crystal structure of AsOsW2 at the GGA-PBE level of DFT.

Cell: 5.203 5.203 5.203 Å, 145.77 128.69 63.13°
Sites, in units of the cell vectors:
As1 0.750 0.250 0.500
Os1 0.250 0.750 0.500
W1 0.983 0.983 0.000
W2 0.517 0.517 0.000

Values from the calculation:
Space-group type   Immm, No. 71
ΔE_f   285 meV/atom

***

Entry 11:
Computed, not measured: an optimized crystal structure of AsOsW2 at the GGA-PBE level of DFT.

Cell: 9.051 9.051 9.051 Å, 18.16 18.16 18.16°
Sites, in units of the cell vectors:
As1 0.498 0.498 0.498
Os1 0.750 0.750 0.750
W1 0.004 0.004 0.004
W2 0.248 0.248 0.248

Values from the calculation:
Space-group type   R3m, No. 160
ΔE_f   339 meV/atom

***

Entry 12:
Computed, not measured: an optimized crystal structure of AsOsW2 at the GGA-PBE level of DFT.

Cell: 2.954 2.954 6.966 Å, 90.00 90.00 90.00°
Sites, in units of the cell vectors:
As1 0.500 0.500 0.250
Os1 0.500 0.500 0.750
W1 0.000 0.000 0.010
W2 0.000 0.000 0.490

Values from the calculation:
Space-group type   P4/mmm, No. 123
ΔE_f   153 meV/atom

***

Entry 13:
Computed, not measured: an optimized crystal structure of YAs3Os at the GGA-PBE level of DFT.

Cell: 5.295 5.295 5.295 Å, 90.00 90.00 90.00°
Sites, in units of the cell vectors:
Y1 0.000 0.000 0.000
As1 0.000 0.500 0.000
As2 0.000 0.000 0.500
As3 0.500 0.000 0.000
Os1 0.500 0.500 0.500

Values from the calculation:
Space-group type   Pm-3m, No. 221
ΔE_f   1596 meV/atom
Offset from the most stable computed form   1.382 eV/atom

***

Entry 14:
Computed, not measured: an optimized crystal structure of YAs4Os at the GGA-PBE level of DFT.

Cell: 5.474 5.474 5.474 Å, 60.00 60.00 60.00°
Sites, in units of the cell vectors:
Y1 0.000 0.000 0.000
As1 0.873 0.376 0.376
As2 0.376 0.376 0.873
As3 0.376 0.873 0.376
As4 0.376 0.376 0.376
Os1 0.750 0.750 0.750

Values from the calculation:
Space-group type   F-43m, No. 216
ΔE_f   441 meV/atom

***

Entry 15:
Computed, not measured: an optimized crystal structure of Y3AsOs at the GGA-PBE level of DFT.

Cell: 5.316 5.316 5.316 Å, 90.00 90.00 90.00°
Sites, in units of the cell vectors:
Y1 0.000 0.500 0.000
Y2 0.000 0.000 0.500
Y3 0.500 0.000 0.000
As1 0.500 0.500 0.500
Os1 0.000 0.000 0.000

Values from the calculation:
Space-group type   Pm-3m, No. 221
ΔE_f   -83 meV/atom
Offset from the most stable computed form   0.000 eV/atom